Record 1
VASP calculation (PBE-GGA) on an optimized crystal structure of VAs.

```
VAs
1.0
0.0000 2.8415 2.8415
2.8415 0.0000 2.8415
2.8415 2.8415 0.0000
V As
1 1
direct
0.0000 0.0000 0.0000
0.7500 0.7500 0.7500
```

Computed properties:
ΔH_f (0 K)	0.143	eV/atom
E_tot	-13.48	eV per cell
Fermi-level density of states	1.11	states/eV per atom

=====

Record 2
VASP calculation (PBE-GGA) on an optimized crystal structure of KAlCr2Pd.

```
KAlCr2Pd
1.0
5.0966 0.0000 0.0000
0.0000 5.0966 0.0000
0.0000 0.0000 5.3216
K Al Cr Pd
1 1 2 1
direct
0.0000 0.0000 0.0000
0.0000 0.0000 0.5000
0.0000 0.5000 0.0000
0.5000 0.0000 0.0000
0.5000 0.5000 0.5000
```

Computed properties:
ΔH_f (0 K)	2.183	eV/atom
E_tot	-18.36	eV per cell
Fermi-level density of states	0.78	states/eV per atom

=====

Record 3
VASP calculation (PBE-GGA) on an optimized crystal structure of CoPt2Se.

```
CoPt2Se
1.0
1.4290 0.8250 8.7315
-1.4290 0.8250 8.7315
0.0000 -1.6500 8.7315
Co Pt Se
1 2 1
direct
0.0000 0.0000 0.0000
0.2551 0.2551 0.2551
0.7449 0.7449 0.7449
0.5000 0.5000 0.5000
```

Computed properties:
E_tot	-21.90	eV per cell
Fermi-level density of states	1.15	states/eV per atom
raw formation energy	0.19	eV/atom

=====

Record 4
VASP calculation (PBE-GGA) on an optimized crystal structure of Th6ZnTc2.

```
Th6ZnTc2
1.0
-4.6984 4.7826 5.4248
4.6984 -4.7826 5.4248
4.6984 4.7826 -5.4248
Th Zn Tc
12 2 4
direct
0.0421 0.2392 0.8029
0.1794 0.2918 0.4712
0.1794 0.7082 0.8876
0.3341 0.0304 0.6964
0.3341 0.6377 0.3036
0.4364 0.2392 0.1971
0.5636 0.7608 0.8029
0.6659 0.3623 0.6964
0.6659 0.9696 0.3036
0.8206 0.2918 0.1124
0.8206 0.7082 0.5288
0.9579 0.7608 0.1971
0.0000 0.0000 0.0000
0.5000 0.5000 0.0000
0.1389 0.6389 0.5000
0.3247 0.0000 0.3247
0.6753 0.0000 0.6753
0.8611 0.3611 0.5000
```

Computed properties:
ΔH_f (0 K)	-0.114	eV/atom
E_tot	-135.10	eV per cell
Fermi-level density of states	1.16	states/eV per atom

=====

Record 5
VASP calculation (PBE-GGA) on an optimized crystal structure of POs2Cl.

```
POs2Cl
1.0
2.9376 0.0000 0.0000
0.0000 3.5362 0.0000
-1.2248 0.0000 6.4911
P Os Cl
1 2 1
direct
0.0000 0.0000 0.0000
0.3275 0.5000 0.1774
0.6725 0.5000 0.8226
0.5000 0.0000 0.5000
```

Computed properties:
E_tot	-27.44	eV per cell
Fermi-level density of states	0.42	states/eV per atom
polymorph energy (0 for the lowest one)	345	meV/atom
raw formation energy	0.57	eV/atom

=====

Record 6
VASP calculation (PBE-GGA) on an optimized crystal structure of Cs2Rb2NaHg4.

```
Cs2Rb2NaHg4
1.0
-4.4044 4.4044 5.6100
4.4044 -4.4044 5.6100
4.4044 4.4044 -5.6100
Cs Rb Na Hg
2 2 1 4
direct
0.2500 0.7500 0.5000
0.7500 0.2500 0.5000
0.1827 0.1827 0.0000
0.8173 0.8173 0.0000
0.5000 0.5000 0.0000
0.2482 0.2482 0.4963
0.2482 0.7518 0.0000
0.7518 0.2482 0.0000
0.7518 0.7518 0.5037
```

Computed properties:
ΔH_f (0 K)	-0.123	eV/atom
E_tot	-7.27	eV per cell
Fermi-level density of states	0.89	states/eV per atom